Below is a relaxed structure of Ca3TiMn3O8, with properties calculated at the PBE+U level.

Results
calculated density	3910	kg/m³
raw total energy	-338.15	eV for the cell shown
total magnetization	15.0	μB/f.u.
V	13.05	A^3/atom

Cell: 6.4679 6.4679 16.2060 Å, 90.00 90.00 120.00°
With the nearest neighbours (Å) after each atom.
Space group R-3m (No. 166, hexagonal axes)
One atom of each set of equivalent atoms:
Ca  0.0000  0.5000  0.0000  6 O 2.36
Ti  0.0000  0.0000  0.5000  6 O 2.01
Mn  0.0000  0.5000  0.5000  6 O 2.25-2.29
O  0.0000  0.0000  0.2445  3 Mn 2.25, 3 Ca 2.36
O  0.0381  0.5190  0.2372  1 Ti 2.01